Below is a relaxed YHoTe2O8 crystal, with properties calculated at the GGA-PBE level.

Cell lengths 6.2268, 6.2268, 6.2268 Å; angles 107.66, 107.66, 113.17 degrees
Closest atoms and distances in Å follow each position.
Element x y z (fractional)
1 Y 0.0000 0.0000 0.0000  8 O 2.34-2.46
2 Ho 0.7500 0.2500 0.5000  8 O 2.33-2.45
3 Te 0.2500 0.7500 0.5000  4 O 1.95
4 Te 0.5000 0.5000 0.0000  4 O 1.95
5 O 0.0466 0.3615 0.3150  1 Te 1.95
6 O 0.0466 0.7316 0.6850  1 Te 1.95
7 O 0.1118 0.2985 0.8134  1 Te 1.95
8 O 0.2684 0.9534 0.3150  1 Te 1.95
9 O 0.4851 0.2985 0.1866  1 Te 1.95
10 O 0.6385 0.9534 0.6850  1 Te 1.95
11 O 0.7015 0.5149 0.8134  1 Te 1.95
12 O 0.7015 0.8882 0.1866  1 Te 1.95

Output
For the formation energy without anion corrections, the calculation gives -1.944 eV per atom. As for the total energy: -80.32 eV/f.u. As for the magnetic moment: 0.000 μB per formula unit. The density of states at the Fermi level comes out at 1.9 states/eV/f.u. The density is 5.71 g/cm³.